[1]
VASP calculation (meta-GGA SCAN) on Ba2SnS4 at its PBEsol-relaxed geometry.

Unit cell a=8.1999 b=8.8379 c=11.3897 alpha=90.00 beta=106.54 gamma=90.00
With the nearest neighbours (Å) after each atom.
Fractional coordinates of all 28 atoms:
Ba  0.3076  0.1546  0.3397  6 S 3.06-3.32
Ba  0.1924  0.6546  0.1603  6 S 3.06-3.32
Ba  0.6924  0.8454  0.6603  6 S 3.06-3.32
Ba  0.8076  0.3454  0.8397  6 S 3.06-3.32
Ba  0.7551  0.1149  0.1543  8 S 3.11-3.47
Ba  0.7449  0.6149  0.3457  8 S 3.11-3.47
Ba  0.2449  0.8851  0.8457  8 S 3.11-3.47
Ba  0.2551  0.3851  0.6543  8 S 3.11-3.47
Sn  0.8115  0.1878  0.5044  4 S 2.38-2.41
Sn  0.6885  0.6878  0.9956  4 S 2.38-2.41
Sn  0.1885  0.8122  0.4956  4 S 2.38-2.41
Sn  0.3115  0.3122  0.0044  4 S 2.38-2.41
S  0.3455  0.0205  0.6091  1 Sn 2.40
S  0.1545  0.5205  0.8909  1 Sn 2.40
S  0.6545  0.9795  0.3909  1 Sn 2.40
S  0.8455  0.4795  0.1091  1 Sn 2.40
S  0.9737  0.1176  0.7073  1 Sn 2.40
S  0.5263  0.6176  0.7927  1 Sn 2.40
S  0.0263  0.8824  0.2927  1 Sn 2.40
S  0.4737  0.3824  0.2073  1 Sn 2.40
S  0.1183  0.1291  0.0412  1 Sn 2.38
S  0.3817  0.6291  0.4588  1 Sn 2.38
S  0.8817  0.8709  0.9588  1 Sn 2.38
S  0.6183  0.3709  0.5412  1 Sn 2.38
S  0.4830  0.1888  0.8925  1 Sn 2.41
S  0.0170  0.6888  0.6075  1 Sn 2.41
S  0.5170  0.8112  0.1075  1 Sn 2.41
S  0.9830  0.3112  0.3925  1 Sn 2.41

## Properties
For the density of states at the Fermi level, the calculation gives 0.0 states/eV per cell. The energy relative to the elements, uncorrected comes out at -1.622 eV/atom. The calculation puts the total energy at -23.56 eV/atom.

[2]
VASP calculation (meta-GGA SCAN) on Mg2AlSb at its PBEsol-relaxed geometry.

Unit cell a=3.1914 b=4.9211 c=6.4334 alpha=112.49 beta=104.36 gamma=90.00
With the nearest neighbours (Å) after each atom.
Fractional coordinates of all 4 atoms:
Sb  0.4694  0.4694  0.9387  2 Al 2.92, 4 Mg 3.03, 2 Sb 3.19
Mg  0.0354  0.0354  0.0708  2 Al 2.99, 4 Sb 3.03, 2 Mg 3.19
Mg  0.2396  0.7396  0.4792  4 Al 2.94, 2 Mg 3.19
Al  0.7557  0.2557  0.5114  2 Sb 2.92, 6 Mg 2.94-2.99, 2 Al 3.19

## Properties
Its distance to the lowest polymorph of the same formula is 0.083 eV/atom. For the density of states at the Fermi level, the calculation gives 1.7 states/eV per cell. The energy relative to the elements, uncorrected comes out at 0.009 eV/atom. The calculation puts the total energy at -13.73 eV/atom.

[3]
VASP calculation (meta-GGA SCAN) on YCd2Cl at its PBEsol-relaxed geometry.

Unit cell a=3.4279 b=5.0970 c=5.5498 alpha=90.00 beta=90.00 gamma=90.00
With the nearest neighbours (Å) after each atom.
Fractional coordinates of all 4 atoms:
Y  0.5000  0.5000  0.2830  2 Cl 2.68
Cl  0.5000  0.0000  0.4324  2 Y 2.68, 2 Cd 2.97
Cd  0.0000  0.0000  0.9957  2 Cd 2.79, 2 Cl 2.97
Cd  0.0000  0.5000  0.7890  2 Cd 2.79

## Properties
Its distance to the lowest polymorph of the same formula is 0.000 eV/atom. For the density of states at the Fermi level, the calculation gives 1.9 states/eV per cell. The energy relative to the elements, uncorrected comes out at -0.690 eV/atom. The calculation puts the total energy at -24.85 eV/atom.